! Cs2In2Ag | Alexandria | GGA-PBE | optimized geometry; values from VASP
! total magnetization: 0.000 μB/atom
! DFT formation energy: 0.444 eV per atom
! D(E_F): 0.75 states/eV/atom
! SG: I4/mmm
! VASP energy: -7.8 eV/cell
! energy relative to the lowest polymorph listed for this composition: 472 meV per atom
&SYSTEM
  ibrav = 0, nat = 5, ntyp = 3
/
ATOMIC_SPECIES
In 114.82 In.upf
Cs 132.91 Cs.upf
Ag 107.87 Ag.upf
ATOMIC_POSITIONS crystal
In 0.5856 0.5856 0.8287
In 0.4144 0.4144 0.1713
Cs 0.7500 0.2500 0.5000
Cs 0.2500 0.7500 0.5000
Ag 0.0000 0.0000 0.0000
CELL_PARAMETERS angstrom
5.5727 0.0000 0.0000
0.0000 5.5727 0.0000
2.7863 2.7863 8.0566

=====

! CsIn3Ag2 | Alexandria | GGA-PBE | optimized geometry; values from VASP
! total magnetization: 0.000 μB/atom
! DFT formation energy: -0.073 eV per atom
! D(E_F): 0.68 states/eV/atom
! SG: Cmcm
! VASP energy: -30.4 eV/cell
! energy relative to the lowest polymorph listed for this composition: 0 meV per atom
&SYSTEM
  ibrav = 0, nat = 12, ntyp = 3
/
ATOMIC_SPECIES
In 114.82 In.upf
Ag 107.87 Ag.upf
Cs 132.91 Cs.upf
ATOMIC_POSITIONS crystal
In 0.9238 0.9238 0.2500
In 0.0762 0.0762 0.7500
In 0.4679 0.0770 0.7500
In 0.0770 0.4679 0.7500
In 0.9230 0.5321 0.2500
In 0.5321 0.9230 0.2500
Ag 0.2049 0.7951 0.0000
Ag 0.7951 0.2049 0.0000
Ag 0.2049 0.7951 0.5000
Ag 0.7951 0.2049 0.5000
Cs 0.6455 0.6455 0.7500
Cs 0.3545 0.3545 0.2500
CELL_PARAMETERS angstrom
-1.2610 2.8100 -7.1880
-5.7868 -5.0775 1.3736
-3.2515 4.3165 2.2579

=====

! Cs2In3Ag2 | Alexandria | GGA-PBE | optimized geometry; values from VASP
! total magnetization: 0.000 μB/atom
! DFT formation energy: -0.083 eV per atom
! D(E_F): 0.36 states/eV/atom
! SG: C2/m
! VASP energy: -16.2 eV/cell
&SYSTEM
  ibrav = 0, nat = 7, ntyp = 3
/
ATOMIC_SPECIES
Ag 107.87 Ag.upf
In 114.82 In.upf
Cs 132.91 Cs.upf
ATOMIC_POSITIONS crystal
Ag 0.1134 0.2267 0.1992
Ag 0.8866 0.7733 0.8008
In 0.3406 0.6811 0.5685
In 0.6594 0.3189 0.4315
In 0.5000 0.0000 0.0000
Cs 0.1349 0.2698 0.7681
Cs 0.8651 0.7302 0.2319
CELL_PARAMETERS angstrom
4.8587 0.0000 0.0000
-2.4294 6.0442 -3.7304
0.0000 -0.7808 8.8418

=====

! CsIn3Ag | Alexandria | GGA-PBE | optimized geometry; values from VASP
! total magnetization: 0.000 μB/atom
! DFT formation energy: 0.120 eV per atom
! D(E_F): 0.94 states/eV/atom
! SG: Pm-3m
! VASP energy: -11.3 eV/cell
! energy relative to the lowest polymorph listed for this composition: 60 meV per atom
&SYSTEM
  ibrav = 0, nat = 5, ntyp = 3
/
ATOMIC_SPECIES
In 114.82 In.upf
Ag 107.87 Ag.upf
Cs 132.91 Cs.upf
ATOMIC_POSITIONS crystal
In 0.0000 0.0000 0.5000
In 0.0000 0.5000 0.0000
In 0.5000 0.0000 0.0000
Ag 0.0000 0.0000 0.0000
Cs 0.5000 0.5000 0.5000
CELL_PARAMETERS angstrom
-1.0017 -0.5825 -5.4853
-4.2549 -3.4664 1.1451
-3.5105 4.3676 0.1773

=====

! CsIn4Ag4 | Alexandria | GGA-PBE | optimized geometry; values from VASP
! total magnetization: 0.000 μB/atom
! DFT formation energy: -0.023 eV per atom
! D(E_F): 0.58 states/eV/atom
! SG: P4_2/nmc
! VASP energy: -46.8 eV/cell
&SYSTEM
  ibrav = 0, nat = 18, ntyp = 3
/
ATOMIC_SPECIES
Ag 107.87 Ag.upf
In 114.82 In.upf
Cs 132.91 Cs.upf
ATOMIC_POSITIONS crystal
Ag 0.8011 0.5000 0.1806
Ag 0.0000 0.3011 0.6806
Ag 0.0000 0.6989 0.6806
Ag 0.5000 0.1989 0.8194
Ag 0.1989 0.5000 0.1806
Ag 0.6989 0.0000 0.3194
Ag 0.5000 0.8011 0.8194
Ag 0.3011 0.0000 0.3194
In 0.0000 0.2598 0.3860
In 0.2598 0.0000 0.6140
In 0.5000 0.7598 0.1140
In 0.5000 0.2402 0.1140
In 0.7598 0.5000 0.8860
In 0.7402 0.0000 0.6140
In 0.2402 0.5000 0.8860
In 0.0000 0.7402 0.3860
Cs 0.0000 0.0000 0.0000
Cs 0.5000 0.5000 0.5000
CELL_PARAMETERS angstrom
7.0272 0.0000 0.0000
0.0000 7.0272 0.0000
0.0000 0.0000 9.7152

=====

! CsIn3Ag | Alexandria | GGA-PBE | optimized geometry; values from VASP
! total magnetization: 0.000 μB/atom
! DFT formation energy: 1.193 eV per atom
! D(E_F): 1.23 states/eV/atom
! SG: Pm-3m
! VASP energy: -6.0 eV/cell
! energy relative to the lowest polymorph listed for this composition: 1132 meV per atom
&SYSTEM
  ibrav = 0, nat = 5, ntyp = 3
/
ATOMIC_SPECIES
In 114.82 In.upf
Ag 107.87 Ag.upf
Cs 132.91 Cs.upf
ATOMIC_POSITIONS crystal
In 0.0000 0.0000 0.5000
In 0.0000 0.5000 0.0000
In 0.5000 0.0000 0.0000
Ag 0.5000 0.5000 0.5000
Cs 0.0000 0.0000 0.0000
CELL_PARAMETERS angstrom
6.5379 0.0000 0.0000
0.0000 6.5379 0.0000
0.0000 0.0000 6.5379